Record 1
DFT (PBE-GGA) results for a geometry-optimized Y2Rh structure.

Lattice parameters (Å, degrees): 13.710 13.710 13.710 165.68 165.68 20.30
Fractional positions:
1 Y 0.438 0.438 0.000
2 Y 0.562 0.562 0.000
3 Y 0.188 0.688 0.500
4 Y 0.312 0.812 0.500
5 Rh 0.750 0.250 0.500
6 Rh 0.000 0.000 0.000

## Properties
Its calculated total energy is -43.435 eV for the cell shown.


Record 2
DFT (PBE-GGA) results for a geometry-optimized La2SiRu structure.

Lattice parameters (Å, degrees): 7.992 7.992 7.992 29.14 29.14 29.14
Fractional positions:
1 La 0.991 0.991 0.991
2 La 0.509 0.509 0.509
3 Ru 0.250 0.250 0.250
4 Si 0.750 0.750 0.750

## Properties
The uncorrected formation energy comes out at -0.079 eV/atom.


Record 3
DFT (PBE-GGA) results for a geometry-optimized NbRe2Rh structure.

Lattice parameters (Å, degrees): 3.682 3.682 10.276 79.68 79.68 90.00
Fractional positions:
1 Re 0.626 0.125 0.250
2 Re 0.124 0.625 0.250
3 Re 0.375 0.374 0.750
4 Re 0.875 0.876 0.750
5 Nb 0.500 0.500 0.000
6 Nb 0.250 0.750 0.500
7 Rh 0.000 0.000 0.000
8 Rh 0.750 0.250 0.500

## Properties
As for the energy relative to the lowest polymorph listed for this composition: 0.651 eV per atom.


Record 4
DFT (PBE-GGA) results for a geometry-optimized Tb7NdSm2 structure.

Lattice parameters (Å, degrees): 6.213 9.481 9.486 141.80 70.99 102.55
Fractional positions:
1 Tb 0.001 0.600 0.399
2 Tb 0.999 0.400 0.601
3 Tb 0.500 0.698 0.799
4 Tb 0.500 0.302 0.201
5 Tb 0.000 0.799 0.199
6 Tb 0.000 0.201 0.801
7 Tb 0.500 0.500 0.000
8 Nd 0.000 0.000 0.000
9 Sm 0.501 0.900 0.600
10 Sm 0.499 0.100 0.400

## Properties
As for the energy relative to the lowest polymorph listed for this composition: 0.000 eV per atom.


Record 5
DFT (PBE-GGA) results for a geometry-optimized NiAg2Br6 structure.

Lattice parameters (Å, degrees): 6.765 6.489 11.462 90.00 88.50 90.00
Site moments in Bohr magnetons follow the coordinates.
Fractional positions:
1 Ni 0.500 0.500 0.000  0.20
2 Ni 0.000 0.000 0.500  0.20
3 Ag 0.004 0.503 0.815  -0.02
4 Ag 0.496 0.003 0.685  -0.02
5 Ag 0.504 0.997 0.315  -0.02
6 Ag 0.996 0.497 0.185  -0.02
7 Br 0.848 0.780 0.346  0.02
8 Br 0.846 0.783 0.651  0.00
9 Br 0.787 0.714 0.997  -0.01
10 Br 0.713 0.214 0.503  -0.01
11 Br 0.654 0.283 0.849  0.00
12 Br 0.652 0.280 0.154  0.02
13 Br 0.152 0.220 0.654  0.02
14 Br 0.154 0.217 0.349  0.00
15 Br 0.213 0.286 0.003  -0.01
16 Br 0.287 0.786 0.497  -0.01
17 Br 0.346 0.717 0.151  0.00
18 Br 0.348 0.720 0.846  0.02

## Properties
The uncorrected formation energy comes out at -0.247 eV/atom.


Record 6
DFT (PBE-GGA) results for a geometry-optimized CsTlC structure.

Lattice parameters (Å, degrees): 7.079 4.110 13.224 90.00 90.00 90.00
Site moments in Bohr magnetons follow the coordinates.
Fractional positions:
1 Cs 0.900 0.250 0.359  0.01
2 Cs 0.600 0.750 0.859  0.01
3 Cs 0.100 0.750 0.641  0.01
4 Cs 0.400 0.250 0.141  0.01
5 Tl 0.090 0.250 0.910  0.01
6 Tl 0.410 0.750 0.410  0.01
7 Tl 0.910 0.750 0.090  0.01
8 Tl 0.590 0.250 0.590  0.01
9 C 0.312 0.250 0.463  0.23
10 C 0.188 0.750 0.963  0.23
11 C 0.688 0.750 0.537  0.23
12 C 0.812 0.250 0.037  0.23

## Properties
Its calculated total energy is -35.903 eV for the cell shown.


Record 7
DFT (PBE-GGA) results for a geometry-optimized PrCdIn structure.

Lattice parameters (Å, degrees): 5.008 5.008 5.008 60.00 60.00 60.00
Fractional positions:
1 Pr 0.500 0.500 0.500
2 Cd 0.250 0.250 0.250
3 In 0.000 0.000 0.000

## Properties
Its calculated total energy is -9.426 eV for the cell shown.


Record 8
DFT (PBE-GGA) results for a geometry-optimized Sm6P2S3Br structure.

Lattice parameters (Å, degrees): 4.069 8.203 9.099 102.34 102.92 90.00
Fractional positions:
1 Sm 0.321 0.901 0.642
2 Sm 0.669 0.580 0.337
3 Sm 0.679 0.099 0.358
4 Sm 0.004 0.281 0.008
5 Sm 0.996 0.719 0.992
6 Sm 0.331 0.420 0.663
7 P 0.834 0.668 0.667
8 P 0.166 0.332 0.333
9 S 0.500 0.500 0.000
10 S 0.839 0.165 0.678
11 S 0.161 0.835 0.322
12 Br 0.500 0.000 0.000

## Properties
The uncorrected formation energy comes out at -1.768 eV/atom.